Entry 1:
Computed, not measured: a relaxed CsInNiTe3 crystal at the PBE level of DFT.

Geometry as extended XYZ:
```
12
Lattice="2.204 -7.622 0.000 2.204 7.622 0.000 0.000 0.000 12.289" Properties=species:S:1:pos:R:3 pbc="T T T"
Cs 2.204 4.344 3.072
Cs 2.204 -4.344 9.216
In 2.204 0.000 0.000
In 2.204 0.000 6.144
Ni 2.204 -6.365 3.072
Ni 2.204 6.365 9.216
Te 2.204 -5.623 0.674
Te 2.204 0.059 3.072
Te 2.204 -5.623 5.471
Te 2.204 5.623 6.818
Te 2.204 -0.059 9.216
Te 2.204 5.623 11.615
```

Computed properties:
SG = No. 63
calculated total energy = -3.503 eV per atom
total magnetization = 0.007 μB per formula unit

Entry 2:
Computed, not measured: a relaxed NbCuHgPd crystal at the PBE level of DFT.

Geometry as extended XYZ:
```
4
Lattice="1.402 -4.302 -0.197 -0.835 -2.814 3.449 -3.015 -3.345 -0.485" Properties=species:S:1:pos:R:3 pbc="T T T"
Cu -1.836 -7.846 2.075
Hg 0.000 0.000 0.000
Nb -1.224 -5.231 1.383
Pd -0.612 -2.615 0.692
```

Computed properties:
SG = No. 216
ΔE_f = 32 meV per atom
excess energy over the best structure of this formula in the dataset = 0.0 meV/atom
calculated total energy = -4.789 eV per atom
total magnetization = 0.008 μB per formula unit